Sc2AlSnB: relaxed, PBE.

Results
**DOS at the Fermi energy**: 1.6 states/eV/f.u.
**Space-group type**: P4/mmm
**Energy relative to the elements**: -0.4795 eV per atom

a b c (Å): 4.7225 4.7225 4.1448
angles (deg): 90.00 90.00 90.00
Sites, in units of the cell vectors:
Sc (0.0000, 0.5000, 0.0000)
Sc (0.5000, 0.0000, 0.0000)
Al (0.0000, 0.0000, 0.5000)
B (0.0000, 0.0000, 0.0000)
Sn (0.5000, 0.5000, 0.5000)



Zn2CdRe: relaxed, PBE.

Results
**DOS at the Fermi energy**: 1.3 states/eV/f.u.
**Space-group type**: Cm
**Energy relative to the elements**: 0.2859 eV per atom

a b c (Å): 5.3647 5.3647 4.9206
angles (deg): 65.53 65.53 29.81
Sites, in units of the cell vectors:
Cd (0.5032, 0.5032, 0.5824)
Re (0.2547, 0.2547, 0.1504)
Zn (0.9952, 0.9952, 0.0962)
Zn (0.7469, 0.7469, 0.6710)



LiSm2Cu16: relaxed, PBE.

Results
**DOS at the Fermi energy**: 9.1 states/eV/f.u.
**Space-group type**: R3m
**Energy relative to the elements**: -0.1247 eV per atom

a b c (Å): 6.5065 6.5065 6.5065
angles (deg): 82.61 82.61 82.61
Sites, in units of the cell vectors:
Cu (0.0985, 0.0985, 0.0985)
Cu (0.2983, 0.0006, 0.7037)
Cu (0.4989, 0.0012, 0.0012)
Cu (0.0006, 0.2983, 0.7037)
Cu (0.1572, 0.6546, 0.6546)
Cu (0.0012, 0.0012, 0.4989)
Cu (0.0006, 0.7037, 0.2983)
Cu (0.2983, 0.7037, 0.0006)
Cu (0.8453, 0.3430, 0.3430)
Cu (0.6546, 0.1572, 0.6546)
Cu (0.7037, 0.0006, 0.2983)
Cu (0.3430, 0.3430, 0.8453)
Cu (0.0012, 0.4989, 0.0012)
Cu (0.3430, 0.8453, 0.3430)
Cu (0.6546, 0.6546, 0.1572)
Cu (0.7037, 0.2983, 0.0006)
Li (0.9075, 0.9075, 0.9075)
Sm (0.3385, 0.3385, 0.3385)
Sm (0.6514, 0.6514, 0.6514)



- The lowest energy relative to the elements belongs to which entry?
  Sc2AlSnB